[1]
The following is a PBE-GGA calculation of an optimized crystal structure of Sc2CuW, from Alexandria via LeMat-Bulk. Values from VASP.

The structure in Quantum ESPRESSO input format:
```
&SYSTEM
  ibrav = 0, nat = 4, ntyp = 3
/
ATOMIC_SPECIES
Cu 63.55 Cu.upf
Sc 44.96 Sc.upf
W 183.84 W.upf
CELL_PARAMETERS angstrom
-2.169 -4.822 1.200
-1.086 -5.075 -1.569
3.549 -3.112 1.672
ATOMIC_POSITIONS crystal
Cu 0.770 0.770 0.803
Sc 0.027 0.027 0.929
W 0.471 0.471 0.465
Sc 0.232 0.232 0.303
```

Summary:
Crystal system: monoclinic
Energy above the lowest structure with this stoichiometry in meV per atom: 46.0
DFT total energy in eV per atom: -7.316
Energy of formation from the pure elements in meV/atom: 112.3
Symmetry: Cm (8)

[2]
The following is a PBE-GGA calculation of an optimized crystal structure of TaSi2, from Alexandria via LeMat-Bulk. Values from VASP.

The structure in Quantum ESPRESSO input format:
```
&SYSTEM
  ibrav = 0, nat = 3, ntyp = 2
/
ATOMIC_SPECIES
Ta 180.95 Ta.upf
Si 28.09 Si.upf
CELL_PARAMETERS angstrom
-0.456 0.593 2.856
-0.085 -2.790 -0.960
6.042 -0.556 1.080
ATOMIC_POSITIONS crystal
Ta 0.000 0.000 0.000
Si 0.667 0.333 0.659
Si 0.333 0.667 0.341
```

Summary:
Crystal system: trigonal
DFT total energy in eV per atom: -7.578
Symmetry: P-3m1 (164)

[3]
The following is a PBE-GGA calculation of an optimized crystal structure of TaSbP2, from Alexandria via LeMat-Bulk. Values from VASP.

The structure in Quantum ESPRESSO input format:
```
&SYSTEM
  ibrav = 0, nat = 4, ntyp = 3
/
ATOMIC_SPECIES
Sb 121.76 Sb.upf
P 30.97 P.upf
Ta 180.95 Ta.upf
CELL_PARAMETERS angstrom
3.278 0.000 0.000
0.000 3.278 0.000
0.000 0.000 6.637
ATOMIC_POSITIONS crystal
Sb 0.500 0.500 0.000
P 0.000 0.000 0.312
P 0.000 0.000 0.688
Ta 0.500 0.500 0.500
```

Summary:
Crystal system: tetragonal
DFT total energy in eV per atom: -6.911
Symmetry: P4/mmm (123)